This record from Alexandria via LeMat-Bulk describes a geometry-optimized Zr2ScAu structure. The functional is PBEsol.

Lattice parameters (Å, degrees): 3.235 3.235 7.879 90.00 90.00 90.00
Positions (direct):
1 Sc 0.500 0.500 0.727
2 Au 0.000 0.000 0.506
3 Zr 0.000 0.000 0.000
4 Zr 0.500 0.500 0.267

**Formation energy**: -359 meV/atom
**Volume**: 20.61 Å³/atom

---

This record from Alexandria via LeMat-Bulk describes a geometry-optimized CaNi2GeRu structure. The functional is PBEsol.

Lattice parameters (Å, degrees): 4.351 4.351 4.565 90.00 90.00 90.00
Positions (direct):
1 Ru 0.000 0.000 0.500
2 Ge 0.000 0.000 0.000
3 Ca 0.500 0.500 0.500
4 Ni 0.000 0.500 0.000
5 Ni 0.500 0.000 0.000

**Formation energy**: 246 meV/atom
**Volume**: 17.28 Å³/atom

---

This record from Alexandria via LeMat-Bulk describes a geometry-optimized YMg3 structure. The functional is PBEsol.

Lattice parameters (Å, degrees): 3.691 5.240 6.069 115.58 107.71 90.00
Positions (direct):
1 Y 0.000 0.500 0.000
2 Mg 0.765 0.765 0.530
3 Mg 0.500 0.000 0.000
4 Mg 0.235 0.235 0.470

**Formation energy**: -2 meV/atom
**Volume**: 24.92 Å³/atom

---

| no. | magnetic moment (μB per formula unit) |
| --- | --- |
| 1 | 0.00 |
| 2 | 0.00 |
| 3 | 0.00 |